A geometry-optimized Bi2AsS structure, computed with GGA-PBEsol.

Summary:
Formation energy without anion corrections = 7 kJ/mol of formula units

Lattice parameters (Å, degrees): 7.1474 7.1474 7.1474 90.00 90.00 90.00
Closest atoms and distances in Å follow each position.
Space group Fm-3m (No. 225)
Symmetry-distinct sites (fractional):
Bi1 0.2500 0.2500 0.2500 [8 per cell]  4 S 3.09, 4 As 3.09
As1 0.0000 0.0000 0.0000 [4 per cell]  8 Bi 3.09
S1 0.0000 0.0000 0.5000 [4 per cell]  8 Bi 3.09